1.
# EuCdHgGe | Alexandria via LeMat-Bulk | GGA-PBE | optimized geometry
data_EuCdHgGe
_chemical_formula_sum 'Eu4 Cd4 Hg4 Ge4'
_space_group_name_H-M_alt 'F -4 3 m'
_space_group_IT_number 216
_space_group_name_Hall 'F -4 2 3'
_cell_length_a 7.289
_cell_length_b 7.289
_cell_length_c 7.289
_cell_angle_alpha 90.00
_cell_angle_beta 90.00
_cell_angle_gamma 90.00
loop_
_atom_site_label
_atom_site_type_symbol
_atom_site_fract_x
_atom_site_fract_y
_atom_site_fract_z
_atom_site_occupancy
Eu1 Eu 0.000 0.000 0.000 1
Cd1 Cd 0.000 0.000 0.500 1
Hg1 Hg 0.250 0.250 0.750 1
Ge1 Ge 0.250 0.250 0.250 1
# ΔH_f (0 K), kJ/mol of formula units: -135
# Electronic total energy, eV per atom: -4.376

***

2.
# NaCu3F7 | Alexandria via LeMat-Bulk | GGA-PBE | optimized geometry
data_NaCu3F7
_chemical_formula_sum 'Na2 Cu6 F14'
_space_group_name_H-M_alt 'C 1 2/m 1'
_space_group_IT_number 12
_space_group_name_Hall '-C 2y'
_cell_length_a 8.932
_cell_length_b 7.157
_cell_length_c 6.365
_cell_angle_alpha 90.00
_cell_angle_beta 134.48
_cell_angle_gamma 90.00
loop_
_atom_site_label
_atom_site_type_symbol
_atom_site_fract_x
_atom_site_fract_y
_atom_site_fract_z
_atom_site_occupancy
Na1 Na 0.000 0.000 0.000 1
Cu1 Cu 0.000 0.236 0.500 1
Cu2 Cu 0.000 0.500 0.000 1
F1 F 0.000 0.500 0.500 1
F2 F 0.003 0.256 0.209 1
F3 F 0.201 0.000 0.705 1
# Energy relative to the lowest polymorph listed for this composition, kJ/mol of formula units: 63
# Uncorrected formation energy, kJ/mol of atoms: -163.3
# Electronic total energy, eV per atom: -4.121

***

3.
# NaAlS | Alexandria via LeMat-Bulk | GGA-PBE | optimized geometry
data_NaAlS
_chemical_formula_sum 'Na4 Al4 S4'
_space_group_name_H-M_alt 'I m m m'
_space_group_IT_number 71
_space_group_name_Hall '-I 2 2'
_cell_length_a 5.276
_cell_length_b 5.329
_cell_length_c 12.502
_cell_angle_alpha 90.00
_cell_angle_beta 90.00
_cell_angle_gamma 90.00
loop_
_atom_site_label
_atom_site_type_symbol
_atom_site_fract_x
_atom_site_fract_y
_atom_site_fract_z
_atom_site_occupancy
Na1 Na 0.000 0.000 0.137 1
Al1 Al 0.000 0.274 0.500 1
S1 S 0.000 0.000 0.361 1
# Uncorrected formation energy, kJ/mol of atoms: -49.3
# Electronic total energy, eV per atom: -3.574

***

4.
# ZrSc2Al | Alexandria via LeMat-Bulk | GGA-PBE | optimized geometry
data_ZrSc2Al
_chemical_formula_sum 'Zr1 Sc2 Al1'
_space_group_name_H-M_alt 'P 1 2/m 1'
_space_group_IT_number 10
_space_group_name_Hall '-P 2y'
_cell_length_a 5.314
_cell_length_b 3.151
_cell_length_c 5.415
_cell_angle_alpha 90.00
_cell_angle_beta 107.59
_cell_angle_gamma 90.00
loop_
_atom_site_label
_atom_site_type_symbol
_atom_site_fract_x
_atom_site_fract_y
_atom_site_fract_z
_atom_site_occupancy
Zr1 Zr 0.000 0.000 0.000 1
Sc1 Sc 0.500 0.000 0.500 1
Sc2 Sc 0.500 0.500 0.000 1
Al1 Al 0.000 0.500 0.500 1
# ΔH_f (0 K), kJ/mol of formula units: -56
# Electronic total energy, eV per atom: -6.383

***

5.
# BaSiSb2 | Alexandria via LeMat-Bulk | GGA-PBE | optimized geometry
data_BaSiSb2
_chemical_formula_sum 'Ba2 Si2 Sb4'
_space_group_name_H-M_alt 'C 1 2/m 1'
_space_group_IT_number 12
_space_group_name_Hall '-C 2y'
_cell_length_a 10.329
_cell_length_b 4.220
_cell_length_c 6.013
_cell_angle_alpha 90.00
_cell_angle_beta 110.35
_cell_angle_gamma 90.00
loop_
_atom_site_label
_atom_site_type_symbol
_atom_site_fract_x
_atom_site_fract_y
_atom_site_fract_z
_atom_site_occupancy
Ba1 Ba 0.000 0.000 0.000 1
Si1 Si 0.000 0.500 0.500 1
Sb1 Sb 0.210 0.000 0.641 1
# Uncorrected formation energy, kJ/mol of atoms: -23.6
# Electronic total energy, eV per atom: -4.142

***

6.
# Li2Tl2Pd | Alexandria via LeMat-Bulk | GGA-PBE | optimized geometry
data_Li2Tl2Pd
_chemical_formula_sum 'Li4 Tl4 Pd2'
_space_group_name_H-M_alt 'I 4/m m m'
_space_group_IT_number 139
_space_group_name_Hall '-I 4 2'
_cell_length_a 5.194
_cell_length_b 5.194
_cell_length_c 7.428
_cell_angle_alpha 90.00
_cell_angle_beta 90.00
_cell_angle_gamma 90.00
loop_
_atom_site_label
_atom_site_type_symbol
_atom_site_fract_x
_atom_site_fract_y
_atom_site_fract_z
_atom_site_occupancy
Li1 Li 0.000 0.000 0.161 1
Tl1 Tl 0.000 0.500 0.250 1
Pd1 Pd 0.000 0.000 0.500 1
# Energy relative to the lowest polymorph listed for this composition, kJ/mol of formula units: 136
# ΔH_f (0 K), kJ/mol of formula units: 2
# Electronic total energy, eV per atom: -2.747

***

7.
# Mn2In5Pd12 | Alexandria via LeMat-Bulk | GGA-PBE | optimized geometry
data_Mn2In5Pd12
_chemical_formula_sum 'Mn4 In10 Pd24'
_space_group_name_H-M_alt 'C 1 2/m 1'
_space_group_IT_number 12
_space_group_name_Hall '-C 2y'
_cell_length_a 15.320
_cell_length_b 5.598
_cell_length_c 9.623
_cell_angle_alpha 90.00
_cell_angle_beta 118.41
_cell_angle_gamma 90.00
loop_
_atom_site_label
_atom_site_type_symbol
_atom_site_fract_x
_atom_site_fract_y
_atom_site_fract_z
_atom_site_occupancy
Mn1 Mn 0.000 0.249 0.000 1
In1 In 0.000 0.500 0.500 1
In2 In 0.172 0.000 0.514 1
In3 In 0.190 0.000 0.024 1
Pd1 Pd 0.000 0.000 0.234 1
Pd2 Pd 0.003 0.500 0.779 1
Pd3 Pd 0.152 0.250 0.748 1
Pd4 Pd 0.168 0.251 0.262 1
# ΔH_f (0 K), kJ/mol of formula units: -358
# Electronic total energy, eV per atom: -5.161

***

8.
# Ba2BeH5 | Alexandria via LeMat-Bulk | GGA-PBE | optimized geometry
data_Ba2BeH5
_chemical_formula_sum 'Ba4 Be2 H10'
_space_group_name_H-M_alt 'I 4 m m'
_space_group_IT_number 107
_space_group_name_Hall 'I 4 -2'
_cell_length_a 5.511
_cell_length_b 5.511
_cell_length_c 7.703
_cell_angle_alpha 90.00
_cell_angle_beta 90.00
_cell_angle_gamma 90.00
loop_
_atom_site_label
_atom_site_type_symbol
_atom_site_fract_x
_atom_site_fract_y
_atom_site_fract_z
_atom_site_occupancy
Ba1 Ba 0.000 0.500 0.000 1
Be1 Be 0.000 0.000 0.264 1
H1 H 0.000 0.000 0.461 1
H2 H 0.207 0.207 0.242 1
# Electronic total energy, eV per atom: -3.399

***

9.
# PrMgAl4 | Alexandria via LeMat-Bulk | GGA-PBE | optimized geometry
data_PrMgAl4
_chemical_formula_sum 'Pr4 Mg4 Al16'
_space_group_name_H-M_alt 'F -4 3 m'
_space_group_IT_number 216
_space_group_name_Hall 'F -4 2 3'
_cell_length_a 7.920
_cell_length_b 7.920
_cell_length_c 7.920
_cell_angle_alpha 90.00
_cell_angle_beta 90.00
_cell_angle_gamma 90.00
loop_
_atom_site_label
_atom_site_type_symbol
_atom_site_fract_x
_atom_site_fract_y
_atom_site_fract_z
_atom_site_occupancy
Pr1 Pr 0.000 0.000 0.000 1
Mg1 Mg 0.250 0.250 0.250 1
Al1 Al 0.125 0.125 0.625 1
# Energy relative to the lowest polymorph listed for this composition, kJ/mol of formula units: 40
# ΔH_f (0 K), kJ/mol of formula units: -127
# Electronic total energy, eV per atom: -3.777

***

10.
# CaSc3Cd | Alexandria via LeMat-Bulk | GGA-PBE | optimized geometry
data_CaSc3Cd
_chemical_formula_sum 'Ca1 Sc3 Cd1'
_space_group_name_H-M_alt 'P m -3 m'
_space_group_IT_number 221
_space_group_name_Hall '-P 4 2 3'
_cell_length_a 5.411
_cell_length_b 5.411
_cell_length_c 5.411
_cell_angle_alpha 90.00
_cell_angle_beta 90.00
_cell_angle_gamma 90.00
loop_
_atom_site_label
_atom_site_type_symbol
_atom_site_fract_x
_atom_site_fract_y
_atom_site_fract_z
_atom_site_occupancy
Ca1 Ca 0.000 0.000 0.000 1
Sc1 Sc 0.000 0.500 0.500 1
Cd1 Cd 0.500 0.500 0.500 1
# Energy relative to the lowest polymorph listed for this composition, kJ/mol of formula units: 0
# ΔH_f (0 K), kJ/mol of formula units: 191
# Electronic total energy, eV per atom: -3.986

***

11.
# LiDy4Te4 | Alexandria via LeMat-Bulk | GGA-PBE | optimized geometry
data_LiDy4Te4
_chemical_formula_sum 'Li2 Dy8 Te8'
_space_group_name_H-M_alt 'P 42/n m c'
_space_group_IT_number 137
_cell_length_a 9.031
_cell_length_b 9.031
_cell_length_c 6.049
_cell_angle_alpha 90.00
_cell_angle_beta 90.00
_cell_angle_gamma 90.00
loop_
_space_group_symop_operation_xyz
'x,y,z'
'-x,-y,-z'
'-y+1/2,x,z+1/2'
'y+1/2,-x,-z+1/2'
'-x+1/2,-y+1/2,z'
'x+1/2,y+1/2,-z'
'y,-x+1/2,z+1/2'
'-y,x+1/2,-z+1/2'
'x+1/2,-y,-z'
'-x+1/2,y,z'
'-y,-x,-z+1/2'
'y,x,z+1/2'
'-x,y+1/2,-z'
'x,-y+1/2,z'
'y+1/2,x+1/2,-z+1/2'
'-y+1/2,-x+1/2,z+1/2'
loop_
_atom_site_label
_atom_site_type_symbol
_atom_site_fract_x
_atom_site_fract_y
_atom_site_fract_z
_atom_site_occupancy
Li1 Li 0.250 0.750 0.250 1
Dy1 Dy 0.054 0.250 0.502 1
Te1 Te 0.028 0.750 0.991 1
# Uncorrected formation energy, kJ/mol of atoms: -102.6
# Electronic total energy, eV per atom: -4.717

***

12.
# ScTc2W | Alexandria via LeMat-Bulk | GGA-PBE | optimized geometry
data_ScTc2W
_chemical_formula_sum 'Sc2 Tc4 W2'
_space_group_name_H-M_alt 'C m m 2'
_space_group_IT_number 35
_space_group_name_Hall 'C 2 -2'
_cell_length_a 3.188
_cell_length_b 4.544
_cell_length_c 8.969
_cell_angle_alpha 90.00
_cell_angle_beta 90.00
_cell_angle_gamma 90.00
loop_
_atom_site_label
_atom_site_type_symbol
_atom_site_fract_x
_atom_site_fract_y
_atom_site_fract_z
_atom_site_occupancy
Sc1 Sc 0.000 0.000 0.000 1
Tc1 Tc 0.000 0.000 0.485 1
Tc2 Tc 0.000 0.500 0.252 1
W1 W 0.000 0.500 0.725 1
# Energy relative to the lowest polymorph listed for this composition, kJ/mol of formula units: 146
# ΔH_f (0 K), kJ/mol of formula units: 60
# Electronic total energy, eV per atom: -9.850

***

13.
# CaHgMo2 | Alexandria via LeMat-Bulk | GGA-PBE | optimized geometry
data_CaHgMo2
_chemical_formula_sum 'Ca3 Hg3 Mo6'
_space_group_name_H-M_alt 'R 3 m'
_space_group_IT_number 160
_space_group_name_Hall 'R 3 -2"'
_cell_length_a 3.3063
_cell_length_b 3.3063
_cell_length_c 27.6887
_cell_angle_alpha 90.00
_cell_angle_beta 90.00
_cell_angle_gamma 120.00
loop_
_atom_site_label
_atom_site_type_symbol
_atom_site_fract_x
_atom_site_fract_y
_atom_site_fract_z
_atom_site_occupancy
Ca1 Ca 0.0000 0.0000 0.0000 1
Hg1 Hg 0.0000 0.0000 0.7606 1
Mo1 Mo 0.0000 0.0000 0.2377 1
Mo2 Mo 0.0000 0.0000 0.5135 1
# ΔH_f (0 K), kJ/mol of formula units: 152
# Electronic total energy, eV per atom: -5.597

***

14.
# K3Bi2Pb | Alexandria via LeMat-Bulk | GGA-PBE | optimized geometry
data_K3Bi2Pb
_chemical_formula_sum 'K12 Bi8 Pb4'
_space_group_name_H-M_alt 'C 1 2/m 1'
_space_group_IT_number 12
_space_group_name_Hall '-C 2y'
_cell_length_a 12.988
_cell_length_b 5.629
_cell_length_c 13.742
_cell_angle_alpha 90.00
_cell_angle_beta 94.17
_cell_angle_gamma 90.00
loop_
_atom_site_label
_atom_site_type_symbol
_atom_site_fract_x
_atom_site_fract_y
_atom_site_fract_z
_atom_site_occupancy
K1 K 0.129 0.000 0.088 1
K2 K 0.150 0.000 0.780 1
K3 K 0.152 0.500 0.561 1
Bi1 Bi 0.061 0.000 0.400 1
Bi2 Bi 0.071 0.500 0.911 1
Pb1 Pb 0.078 0.500 0.278 1
# Energy relative to the lowest polymorph listed for this composition, kJ/mol of formula units: 0
# ΔH_f (0 K), kJ/mol of formula units: -170
# Electronic total energy, eV per atom: -2.754

***

15.
# RuRhNF2 | Alexandria via LeMat-Bulk | GGA-PBE | optimized geometry
data_RuRhNF2
_chemical_formula_sum 'Ru1 Rh1 N1 F2'
_space_group_name_H-M_alt 'P 4/m m m'
_space_group_IT_number 123
_space_group_name_Hall '-P 4 2'
_cell_length_a 4.409
_cell_length_b 4.409
_cell_length_c 3.656
_cell_angle_alpha 90.00
_cell_angle_beta 90.00
_cell_angle_gamma 90.00
loop_
_atom_site_label
_atom_site_type_symbol
_atom_site_fract_x
_atom_site_fract_y
_atom_site_fract_z
_atom_site_occupancy
Ru1 Ru 0.000 0.000 0.000 1
Rh1 Rh 0.500 0.500 0.500 1
N1 N 0.500 0.500 0.000 1
F1 F 0.000 0.500 0.500 1
# Energy relative to the lowest polymorph listed for this composition, kJ/mol of formula units: 94
# Uncorrected formation energy, kJ/mol of atoms: 34.6
# Electronic total energy, eV per atom: -5.381

***

16.
# ScAsPO2 | Alexandria via LeMat-Bulk | GGA-PBE | optimized geometry
data_ScAsPO2
_chemical_formula_sum 'Sc1 As1 P1 O2'
_space_group_name_H-M_alt 'P 4/m m m'
_space_group_IT_number 123
_space_group_name_Hall '-P 4 2'
_cell_length_a 3.925
_cell_length_b 3.925
_cell_length_c 5.685
_cell_angle_alpha 90.00
_cell_angle_beta 90.00
_cell_angle_gamma 90.00
loop_
_atom_site_label
_atom_site_type_symbol
_atom_site_fract_x
_atom_site_fract_y
_atom_site_fract_z
_atom_site_occupancy
Sc1 Sc 0.000 0.000 0.000 1
As1 As 0.500 0.500 0.500 1
P1 P 0.000 0.000 0.500 1
O1 O 0.000 0.500 0.000 1
# Energy relative to the lowest polymorph listed for this composition, kJ/mol of formula units: 15
# Uncorrected formation energy, kJ/mol of atoms: -79.4
# Electronic total energy, eV per atom: -6.085

***

17.
# Y2TiO5 | Alexandria via LeMat-Bulk | GGA-PBE | optimized geometry
data_Y2TiO5
_chemical_formula_sum 'Y8 Ti4 O20'
_space_group_name_H-M_alt 'P n m a'
_space_group_IT_number 62
_space_group_name_Hall '-P 2ac 2n'
_cell_length_a 10.454
_cell_length_b 3.716
_cell_length_c 11.345
_cell_angle_alpha 90.00
_cell_angle_beta 90.00
_cell_angle_gamma 90.00
loop_
_atom_site_label
_atom_site_type_symbol
_atom_site_fract_x
_atom_site_fract_y
_atom_site_fract_z
_atom_site_occupancy
Y1 Y 0.115 0.250 0.223 1
Y2 Y 0.136 0.250 0.556 1
Ti1 Ti 0.174 0.250 0.880 1
O1 O 0.006 0.750 0.605 1
O2 O 0.007 0.250 0.845 1
O3 O 0.224 0.250 0.042 1
O4 O 0.236 0.750 0.883 1
O5 O 0.243 0.750 0.229 1
# Uncorrected formation energy, kJ/mol of atoms: -330.3
# Electronic total energy, eV per atom: -9.126

***

18.
# HoTh2Te2S2 | Alexandria via LeMat-Bulk | GGA-PBE | optimized geometry
data_HoTh2Te2S2
_chemical_formula_sum 'Ho2 Th4 Te4 S4'
_space_group_name_H-M_alt 'I 4/m m m'
_space_group_IT_number 139
_space_group_name_Hall '-I 4 2'
_cell_length_a 4.973
_cell_length_b 4.973
_cell_length_c 16.099
_cell_angle_alpha 90.00
_cell_angle_beta 90.00
_cell_angle_gamma 90.00
loop_
_atom_site_label
_atom_site_type_symbol
_atom_site_fract_x
_atom_site_fract_y
_atom_site_fract_z
_atom_site_occupancy
Ho1 Ho 0.000 0.000 0.000 1
Th1 Th 0.000 0.000 0.388 1
Te1 Te 0.000 0.000 0.186 1
S1 S 0.000 0.500 0.000 1
# Uncorrected formation energy, kJ/mol of atoms: -119.0
# Electronic total energy, eV per atom: -6.084

***

19.
# Li2TaFe2 | Alexandria via LeMat-Bulk | GGA-PBE | optimized geometry
data_Li2TaFe2
_chemical_formula_sum 'Li4 Ta2 Fe4'
_space_group_name_H-M_alt 'P 4/m b m'
_space_group_IT_number 127
_space_group_name_Hall '-P 4 2ab'
_cell_length_a 6.996
_cell_length_b 6.996
_cell_length_c 2.674
_cell_angle_alpha 90.00
_cell_angle_beta 90.00
_cell_angle_gamma 90.00
loop_
_atom_site_label
_atom_site_type_symbol
_atom_site_fract_x
_atom_site_fract_y
_atom_site_fract_z
_atom_site_occupancy
Li1 Li 0.173 0.327 0.000 1
Ta1 Ta 0.000 0.000 0.500 1
Fe1 Fe 0.122 0.622 0.500 1
# Energy relative to the lowest polymorph listed for this composition, kJ/mol of formula units: 68
# ΔH_f (0 K), kJ/mol of formula units: 228
# Electronic total energy, eV per atom: -6.048

***

20.
# ThCu6P4 | Alexandria via LeMat-Bulk | GGA-PBE | optimized geometry
data_ThCu6P4
_chemical_formula_sum 'Th2 Cu12 P8'
_space_group_name_H-M_alt 'I -4 2 m'
_space_group_IT_number 121
_space_group_name_Hall 'I -4 2'
_cell_length_a 6.428
_cell_length_b 6.428
_cell_length_c 8.320
_cell_angle_alpha 90.00
_cell_angle_beta 90.00
_cell_angle_gamma 90.00
loop_
_atom_site_label
_atom_site_type_symbol
_atom_site_fract_x
_atom_site_fract_y
_atom_site_fract_z
_atom_site_occupancy
Th1 Th 0.000 0.000 0.000 1
Cu1 Cu 0.000 0.500 0.000 1
Cu2 Cu 0.143 0.143 0.629 1
P1 P 0.218 0.218 0.355 1
# ΔH_f (0 K), kJ/mol of formula units: -291
# Electronic total energy, eV per atom: -5.151